A relaxed structure of Be5Pt3. Source: Alexandria, functional PBE-GGA.

Geometry as extended XYZ:
```
16
Lattice="6.884 0.002 -0.006 -5.425 4.239 -0.006 -0.733 -2.129 6.190" Properties=species:S:1:pos:R:3 pbc="T T T"
Pt -0.870 0.415 3.262
Be 2.008 0.958 5.541
Pt 3.088 -1.027 5.188
Be 3.487 0.130 3.151
Be 0.764 -0.353 1.658
Be -1.723 -0.129 5.547
Pt 1.671 1.912 3.256
Be -0.546 2.638 3.867
Be 4.861 0.794 1.330
Be 1.324 -0.378 3.873
Pt -0.265 1.589 6.006
Be -2.685 2.199 3.027
Be -0.090 2.312 1.652
Pt -2.322 3.254 0.957
Be 2.812 1.499 1.330
Pt 0.457 -1.031 6.011
```

As for the total DFT energy (no corrections): -81.881 eV per cell. For the excess energy over the best structure of this formula in the dataset, the calculation gives 87 meV/atom.